Density functional theory data (GGA-PBE) for PmZr2P3 after structural relaxation.

Cell: 3.857 3.857 9.484 Å, 90.00 90.00 120.00°
Sites, in units of the cell vectors:
P 0.000 0.000 0.000
P 0.667 0.333 0.687
P 0.333 0.667 0.313
Pm 0.000 0.000 0.500
Zr 0.667 0.333 0.154
Zr 0.333 0.667 0.846

Computed properties:
energy: -7.76 eV/atom
theoretical density: 5.71 g cm⁻³